Sm3TmPb | PBE | relaxed

The structure in CIF format:
```
data_Sm3TmPb
_space_group_name_H-M_alt 'C 1 2/c 1'
_space_group_IT_number 15
_space_group_name_Hall '-C 2yc'
_cell_length_a 17.385
_cell_length_b 6.189
_cell_length_c 11.962
_cell_angle_alpha 90.00
_cell_angle_beta 108.40
_cell_angle_gamma 90.00
loop_
_atom_site_label
_atom_site_type_symbol
_atom_site_fract_x
_atom_site_fract_y
_atom_site_fract_z
_atom_site_occupancy
Sm1 Sm 0.051 0.237 0.006 1
Sm2 Sm 0.096 0.409 0.749 1
Sm3 Sm 0.205 0.049 0.246 1
Tm1 Tm 0.152 0.266 0.496 1
Pb1 Pb 0.000 0.086 0.250 1
Pb2 Pb 0.250 0.250 0.000 1
```

Energy of formation from the pure elements, eV per atom: -0.207
Uncorrected energy, Ry/atom: -0.344
ρ, g/cm3: 8.997
Total magnetization, Bohr magnetons per cell: 0.00

SmTmPb | PBE | relaxed

The structure in CIF format:
```
data_SmTmPb
_space_group_name_H-M_alt 'I 4 m m'
_space_group_IT_number 107
_space_group_name_Hall 'I 4 -2'
_cell_length_a 3.615
_cell_length_b 3.615
_cell_length_c 13.892
_cell_angle_alpha 90.00
_cell_angle_beta 90.00
_cell_angle_gamma 90.00
loop_
_atom_site_label
_atom_site_type_symbol
_atom_site_fract_x
_atom_site_fract_y
_atom_site_fract_z
_atom_site_occupancy
Sm1 Sm 0.000 0.000 0.000 1
Tm1 Tm 0.000 0.000 0.319 1
Pb1 Pb 0.000 0.000 0.664 1
```

Energy of formation from the pure elements, eV per atom: -0.292
Uncorrected energy, Ry/atom: -0.338
ρ, g/cm3: 9.631
Total magnetization, Bohr magnetons per cell: 0.00

Sm6Tm8Pb | PBE | relaxed

The structure in CIF format:
```
data_Sm6Tm8Pb
_space_group_name_H-M_alt 'P -3'
_space_group_IT_number 147
_space_group_name_Hall '-P 3'
_cell_length_a 9.2646
_cell_length_b 9.2646
_cell_length_c 6.6569
_cell_angle_alpha 90.00
_cell_angle_beta 90.00
_cell_angle_gamma 120.00
loop_
_atom_site_label
_atom_site_type_symbol
_atom_site_fract_x
_atom_site_fract_y
_atom_site_fract_z
_atom_site_occupancy
Sm1 Sm 0.0819 0.6850 0.4008 1
Tm1 Tm 0.0201 0.3356 0.1023 1
Tm2 Tm 0.3333 0.6667 0.8220 1
Pb1 Pb 0.0000 0.0000 0.5000 1
```

Energy of formation from the pure elements, eV per atom: 0.187
Uncorrected energy, Ry/atom: -0.318
ρ, g/cm3: 8.258
Total magnetization, Bohr magnetons per cell: 0.00

Sm3Tm4Pb4 | PBE | relaxed

The structure in CIF format:
```
data_Sm3Tm4Pb4
_space_group_name_H-M_alt 'I m m m'
_space_group_IT_number 71
_space_group_name_Hall '-I 2 2'
_cell_length_a 4.299
_cell_length_b 9.364
_cell_length_c 16.848
_cell_angle_alpha 90.00
_cell_angle_beta 90.00
_cell_angle_gamma 90.00
loop_
_atom_site_label
_atom_site_type_symbol
_atom_site_fract_x
_atom_site_fract_y
_atom_site_fract_z
_atom_site_occupancy
Sm1 Sm 0.000 0.000 0.000 1
Sm2 Sm 0.000 0.500 0.111 1
Tm1 Tm 0.000 0.304 0.329 1
Pb1 Pb 0.000 0.000 0.244 1
Pb2 Pb 0.000 0.209 0.500 1
```

Energy of formation from the pure elements, eV per atom: -0.360
Uncorrected energy, Ry/atom: -0.340
ρ, g/cm3: 9.576
Total magnetization, Bohr magnetons per cell: 5.10

Sm3TmPb4 | PBE | relaxed

The structure in CIF format:
```
data_Sm3TmPb4
_space_group_name_H-M_alt 'P m n a'
_space_group_IT_number 53
_space_group_name_Hall '-P 2ac 2'
_cell_length_a 11.203
_cell_length_b 6.485
_cell_length_c 6.488
_cell_angle_alpha 90.00
_cell_angle_beta 90.00
_cell_angle_gamma 90.00
loop_
_atom_site_label
_atom_site_type_symbol
_atom_site_fract_x
_atom_site_fract_y
_atom_site_fract_z
_atom_site_occupancy
Sm1 Sm 0.000 0.000 0.000 1
Sm2 Sm 0.250 0.252 0.250 1
Tm1 Tm 0.000 0.500 0.500 1
Pb1 Pb 0.000 0.000 0.500 1
Pb2 Pb 0.000 0.500 0.000 1
Pb3 Pb 0.250 0.249 0.750 1
```

Energy of formation from the pure elements, eV per atom: -0.459
Uncorrected energy, Ry/atom: -0.341
ρ, g/cm3: 10.207
Total magnetization, Bohr magnetons per cell: 0.00

Sm2TmPb | PBE | relaxed

The structure in CIF format:
```
data_Sm2TmPb
_space_group_name_H-M_alt 'C m c m'
_space_group_IT_number 63
_space_group_name_Hall '-C 2c 2'
_cell_length_a 3.446
_cell_length_b 26.930
_cell_length_c 5.680
_cell_angle_alpha 90.00
_cell_angle_beta 90.00
_cell_angle_gamma 90.00
loop_
_atom_site_label
_atom_site_type_symbol
_atom_site_fract_x
_atom_site_fract_y
_atom_site_fract_z
_atom_site_occupancy
Sm1 Sm 0.000 0.093 0.250 1
Sm2 Sm 0.000 0.184 0.750 1
Tm1 Tm 0.000 0.029 0.750 1
Pb1 Pb 0.000 0.303 0.750 1
```

Energy of formation from the pure elements, eV per atom: 0.056
Uncorrected energy, Ry/atom: -0.320
ρ, g/cm3: 8.529
ΔE to the lowest computed polymorph, meV/atom: 349
Total magnetization, Bohr magnetons per cell: 0.00

SmTm3Pb5 | PBE | relaxed

The structure in CIF format:
```
data_SmTm3Pb5
_space_group_name_H-M_alt 'P 63/m c m'
_space_group_IT_number 193
_space_group_name_Hall '-P 6c 2'
_cell_length_a 9.5345
_cell_length_b 9.5345
_cell_length_c 6.5219
_cell_angle_alpha 90.00
_cell_angle_beta 90.00
_cell_angle_gamma 120.00
loop_
_atom_site_label
_atom_site_type_symbol
_atom_site_fract_x
_atom_site_fract_y
_atom_site_fract_z
_atom_site_occupancy
Sm1 Sm 0.0000 0.0000 0.0000 1
Tm1 Tm 0.0000 0.3788 0.2500 1
Pb1 Pb 0.0000 0.2962 0.7500 1
Pb2 Pb 0.3333 0.6667 0.0000 1
```

Energy of formation from the pure elements, eV per atom: -0.346
Uncorrected energy, Ry/atom: -0.325
ρ, g/cm3: 10.952
Total magnetization, Bohr magnetons per cell: 0.00

Sm4TmPb4 | PBE | relaxed

The structure in CIF format:
```
data_Sm4TmPb4
_space_group_name_H-M_alt 'P 42/n'
_space_group_IT_number 86
_cell_length_a 9.535
_cell_length_b 9.535
_cell_length_c 6.473
_cell_angle_alpha 90.00
_cell_angle_beta 90.00
_cell_angle_gamma 90.00
loop_
_space_group_symop_operation_xyz
'x,y,z'
'-x,-y,-z'
'-y,x+1/2,z+1/2'
'y,-x+1/2,-z+1/2'
'-x+1/2,-y+1/2,z'
'x+1/2,y+1/2,-z'
'y+1/2,-x,z+1/2'
'-y+1/2,x,-z+1/2'
loop_
_atom_site_label
_atom_site_type_symbol
_atom_site_fract_x
_atom_site_fract_y
_atom_site_fract_z
_atom_site_occupancy
Sm1 Sm 0.026 0.670 0.121 1
Tm1 Tm 0.250 0.250 0.250 1
Pb1 Pb 0.028 0.654 0.614 1
```

Energy of formation from the pure elements, eV per atom: -0.285
Uncorrected energy, Ry/atom: -0.333
ρ, g/cm3: 9.025
Total magnetization, Bohr magnetons per cell: 0.00

SmTm8Pb6 | PBE | relaxed

The structure in CIF format:
```
data_SmTm8Pb6
_space_group_name_H-M_alt 'R -3'
_space_group_IT_number 148
_space_group_name_Hall '-R 3'
_cell_length_a 9.0490
_cell_length_b 9.0490
_cell_length_c 19.6670
_cell_angle_alpha 90.00
_cell_angle_beta 90.00
_cell_angle_gamma 120.00
loop_
_atom_site_label
_atom_site_type_symbol
_atom_site_fract_x
_atom_site_fract_y
_atom_site_fract_z
_atom_site_occupancy
Sm1 Sm 0.0000 0.0000 0.0000 1
Tm1 Tm 0.0000 0.0000 0.3331 1
Tm2 Tm 0.0005 0.3306 0.1055 1
Pb1 Pb 0.0002 0.3382 0.9307 1
```

Energy of formation from the pure elements, eV per atom: -0.299
Uncorrected energy, Ry/atom: -0.329
ρ, g/cm3: 9.805
Total magnetization, Bohr magnetons per cell: 0.01

SmTm3Pb | PBE | relaxed

The structure in CIF format:
```
data_SmTm3Pb
_space_group_name_H-M_alt 'P 1 21/c 1'
_space_group_IT_number 14
_space_group_name_Hall '-P 2ybc'
_cell_length_a 7.936
_cell_length_b 9.129
_cell_length_c 10.220
_cell_angle_alpha 90.00
_cell_angle_beta 125.04
_cell_angle_gamma 90.00
loop_
_atom_site_label
_atom_site_type_symbol
_atom_site_fract_x
_atom_site_fract_y
_atom_site_fract_z
_atom_site_occupancy
Sm1 Sm 0.220 0.080 0.330 1
Tm1 Tm 0.095 0.676 0.011 1
Tm2 Tm 0.202 0.079 0.974 1
Tm3 Tm 0.409 0.117 0.740 1
Pb1 Pb 0.350 0.714 0.384 1
```

Energy of formation from the pure elements, eV per atom: -0.147
Uncorrected energy, Ry/atom: -0.332
ρ, g/cm3: 9.471
Total magnetization, Bohr magnetons per cell: 0.00

Sm2TmPb2 | PBE | relaxed

The structure in CIF format:
```
data_Sm2TmPb2
_space_group_name_H-M_alt 'P 4/m b m'
_space_group_IT_number 127
_space_group_name_Hall '-P 4 2ab'
_cell_length_a 8.193
_cell_length_b 8.193
_cell_length_c 4.528
_cell_angle_alpha 90.00
_cell_angle_beta 90.00
_cell_angle_gamma 90.00
loop_
_atom_site_label
_atom_site_type_symbol
_atom_site_fract_x
_atom_site_fract_y
_atom_site_fract_z
_atom_site_occupancy
Sm1 Sm 0.168 0.332 0.000 1
Tm1 Tm 0.000 0.000 0.500 1
Pb1 Pb 0.138 0.638 0.500 1
```

Energy of formation from the pure elements, eV per atom: -0.501
Uncorrected energy, Ry/atom: -0.350
ρ, g/cm3: 9.659
ΔE to the lowest computed polymorph, meV/atom: 0
Total magnetization, Bohr magnetons per cell: 0.00

Sm12Tm7Pb | PBE | relaxed

The structure in CIF format:
```
data_Sm12Tm7Pb
_space_group_name_H-M_alt 'R -3'
_space_group_IT_number 148
_space_group_name_Hall '-R 3'
_cell_length_a 12.1937
_cell_length_b 12.1937
_cell_length_c 15.1869
_cell_angle_alpha 90.00
_cell_angle_beta 90.00
_cell_angle_gamma 120.00
loop_
_atom_site_label
_atom_site_type_symbol
_atom_site_fract_x
_atom_site_fract_y
_atom_site_fract_z
_atom_site_occupancy
Sm1 Sm 0.0239 0.5783 0.2074 1
Sm2 Sm 0.0581 0.4682 0.5869 1
Tm1 Tm 0.0000 0.0000 0.0000 1
Tm2 Tm 0.0467 0.8616 0.3057 1
Pb1 Pb 0.0000 0.0000 0.5000 1
```

Energy of formation from the pure elements, eV per atom: 0.145
Uncorrected energy, Ry/atom: -0.326
ρ, g/cm3: 8.137
Total magnetization, Bohr magnetons per cell: 3.95

- What is the formula in the tenth record?
  SmTm3Pb